1.
# ScNb3Pd (PBEsol, relaxed)
data_ScNb3Pd
_cell_length_a 4.8318
_cell_length_b 4.8318
_cell_length_c 4.8318
_cell_angle_alpha 90.00
_cell_angle_beta 90.00
_cell_angle_gamma 90.00
_space_group_name_H-M_alt 'P m -3 m'
_space_group_IT_number 221
_space_group_name_Hall '-P 4 2 3'
loop_
_atom_site_label
_atom_site_fract_x
_atom_site_fract_y
_atom_site_fract_z
Sc1 0.0000 0.0000 0.0000
Nb1 0.0000 0.5000 0.5000
Pd1 0.5000 0.5000 0.5000
# **Formation enthalpy at 0 K**: 1.097 eV/atom
# **Calculated volume**: 22.56 A^3/atom
# **Size of the total moment**: 0.0 μB/cell
# **Total DFT energy (no corrections)**: -7.909 eV per atom



2.
# Ca5WN4O2 (PBEsol, relaxed)
data_Ca5WN4O2
_cell_length_a 6.0478
_cell_length_b 6.7004
_cell_length_c 8.3950
_cell_angle_alpha 90.00
_cell_angle_beta 91.37
_cell_angle_gamma 90.00
_space_group_name_H-M_alt 'P 1 21/m 1'
_space_group_IT_number 11
loop_
_space_group_symop_operation_xyz
'x,y,z'
'-x,-y,-z'
'-x,y+1/2,-z'
'x,-y+1/2,z'
loop_
_atom_site_label
_atom_site_fract_x
_atom_site_fract_y
_atom_site_fract_z
Ca1 0.0000 0.0000 0.0000
Ca2 0.1944 0.2500 0.3287
Ca3 0.2669 0.0094 0.6647
Ca4 0.4979 0.7500 0.9835
W1 0.2817 0.7500 0.3222
N1 0.0289 0.7500 0.4473
N2 0.3355 0.5248 0.1904
N3 0.4932 0.2500 0.5239
O1 0.1520 0.7500 0.8293
O2 0.1904 0.2500 0.8708
# **Calculated volume**: 14.17 A^3/atom
# **Size of the total moment**: 0.0 μB/cell
# **Total DFT energy (no corrections)**: -7.540 eV per atom



3.
# Hf2AlPd2 (PBEsol, relaxed)
data_Hf2AlPd2
_cell_length_a 7.2805
_cell_length_b 7.2805
_cell_length_c 3.3453
_cell_angle_alpha 90.00
_cell_angle_beta 90.00
_cell_angle_gamma 90.00
_space_group_name_H-M_alt 'P 4/m b m'
_space_group_IT_number 127
_space_group_name_Hall '-P 4 2ab'
loop_
_atom_site_label
_atom_site_fract_x
_atom_site_fract_y
_atom_site_fract_z
Hf1 0.1704 0.3296 0.0000
Al1 0.0000 0.0000 0.5000
Pd1 0.1309 0.6309 0.5000
# **Formation enthalpy at 0 K**: -0.677 eV/atom
# **Calculated volume**: 17.73 A^3/atom
# **Size of the total moment**: 0.0 μB/cell
# **Total DFT energy (no corrections)**: -8.080 eV per atom



4.
# CrRe8 (PBEsol, relaxed)
data_CrRe8
_cell_length_a 8.1809
_cell_length_b 8.1809
_cell_length_c 3.8566
_cell_angle_alpha 90.00
_cell_angle_beta 90.00
_cell_angle_gamma 90.00
_space_group_name_H-M_alt 'I 4/m m m'
_space_group_IT_number 139
_space_group_name_Hall '-I 4 2'
loop_
_atom_site_label
_atom_site_fract_x
_atom_site_fract_y
_atom_site_fract_z
Cr1 0.0000 0.0000 0.0000
Re1 0.0000 0.3311 0.0000
Re2 0.1647 0.1647 0.5000
# **Formation enthalpy at 0 K**: 0.100 eV/atom
# **Calculated volume**: 14.34 A^3/atom
# **Size of the total moment**: 0.0 μB/cell
# **Total DFT energy (no corrections)**: -12.888 eV per atom



5.
# Ba5Cl (PBEsol, relaxed)
data_Ba5Cl
_cell_length_a 7.7484
_cell_length_b 7.7484
_cell_length_c 7.4977
_cell_angle_alpha 90.00
_cell_angle_beta 90.00
_cell_angle_gamma 120.00
_space_group_name_H-M_alt 'P 6/m m m'
_space_group_IT_number 191
_space_group_name_Hall '-P 6 2'
loop_
_atom_site_label
_atom_site_fract_x
_atom_site_fract_y
_atom_site_fract_z
Ba1 0.0000 0.5000 0.0000
Ba2 0.3333 0.6667 0.5000
Cl1 0.0000 0.0000 0.5000
# **Calculated volume**: 64.97 A^3/atom
# **Offset from the most stable computed form**: 0.104 eV/atom
# **Size of the total moment**: 1.0 μB/cell
# **Total DFT energy (no corrections)**: -1.985 eV per atom



6.
# CuSiAg2 (PBEsol, relaxed)
data_CuSiAg2
_cell_length_a 3.8957
_cell_length_b 3.8957
_cell_length_c 7.7195
_cell_angle_alpha 90.00
_cell_angle_beta 90.00
_cell_angle_gamma 90.00
_space_group_name_H-M_alt 'I 4/m m m'
_space_group_IT_number 139
_space_group_name_Hall '-I 4 2'
loop_
_atom_site_label
_atom_site_fract_x
_atom_site_fract_y
_atom_site_fract_z
Cu1 0.0000 0.0000 0.0000
Si1 0.0000 0.0000 0.5000
Ag1 0.0000 0.5000 0.2500
# **Calculated volume**: 14.64 A^3/atom
# **Size of the total moment**: 0.0 μB/cell
# **Total DFT energy (no corrections)**: -4.037 eV per atom



7.
# Zr2BeSi (PBEsol, relaxed)
data_Zr2BeSi
_cell_length_a 3.6816
_cell_length_b 3.6816
_cell_length_c 18.4542
_cell_angle_alpha 90.00
_cell_angle_beta 90.00
_cell_angle_gamma 120.00
_space_group_name_H-M_alt 'R -3 m'
_space_group_IT_number 166
_space_group_name_Hall '-R 3 2"'
loop_
_atom_site_label
_atom_site_fract_x
_atom_site_fract_y
_atom_site_fract_z
Zr1 0.0000 0.0000 0.2499
Be1 0.0000 0.0000 0.0000
Si1 0.0000 0.0000 0.5000
# **Calculated volume**: 18.05 A^3/atom
# **Offset from the most stable computed form**: 0.440 eV/atom
# **Size of the total moment**: 0.0 μB/cell
# **Total DFT energy (no corrections)**: -7.208 eV per atom



8.
# Te2AsRh (PBEsol, relaxed)
data_Te2AsRh
_cell_length_a 8.3351
_cell_length_b 3.7758
_cell_length_c 6.9167
_cell_angle_alpha 90.00
_cell_angle_beta 111.90
_cell_angle_gamma 90.00
_space_group_name_H-M_alt 'C 1 m 1'
_space_group_IT_number 8
loop_
_space_group_symop_operation_xyz
'x,y,z'
'x,-y,z'
'x+1/2,y+1/2,z'
'x+1/2,-y+1/2,z'
loop_
_atom_site_label
_atom_site_fract_x
_atom_site_fract_y
_atom_site_fract_z
Te1 0.0000 0.0000 0.0000
Te2 0.1881 0.0000 0.6093
As1 0.3778 0.5000 0.3042
Rh1 0.0866 0.5000 0.3053
# **Calculated volume**: 25.25 A^3/atom
# **Size of the total moment**: 0.0 μB/cell
# **Total DFT energy (no corrections)**: -5.188 eV per atom